*P*
Here is an optimized crystal structure of ZrScTlIn from the Alexandria database. Energies are from PBE-GGA.

## Properties
- DOS at the Fermi energy (states/eV per cell) = 17.2
- magnetic moment (μB/f.u.) = 0.02

Unit cell a=7.1592 b=7.1592 c=7.1592 alpha=90.00 beta=90.00 gamma=90.00
Space group F-43m (No. 216)
Unique sites:
Zr 0.0000 0.0000 0.0000 (multiplicity 4)
Sc 0.0000 0.0000 0.5000 (multiplicity 4)
Tl 0.2500 0.2500 0.7500 (multiplicity 4)
In 0.2500 0.2500 0.2500 (multiplicity 4)

*Q*
Here is an optimized crystal structure of ZrScTlIn from the Alexandria database. Energies are from PBE-GGA.

## Properties
- DOS at the Fermi energy (states/eV per cell) = 4.2
- magnetic moment (μB/f.u.) = 0.00

Unit cell a=4.2937 b=4.5637 c=4.6290 alpha=90.00 beta=90.00 gamma=90.00
Space group Pmmm (No. 47)
Unique sites:
Zr 0.0000 0.0000 0.0000 (multiplicity 1)
Sc 0.0000 0.5000 0.5000 (multiplicity 1)
Tl 0.5000 0.0000 0.5000 (multiplicity 1)
In 0.5000 0.5000 0.0000 (multiplicity 1)

Most stable structure, least stable structure: *Q*, *P*.

*P*
Here is an optimized crystal structure of Tm2Sc3In2 from the Alexandria database. Energies are from PBE-GGA.

## Properties
- DOS at the Fermi energy (states/eV per cell) = 17.9
- magnetic moment (μB/f.u.) = 0.37

Unit cell a=3.3645 b=4.9547 c=21.7725 alpha=90.00 beta=90.00 gamma=90.00
Space group Immm (No. 71)
Unique sites:
Tm 0.0000 0.0000 0.0719 (multiplicity 4)
Sc 0.0000 0.0000 0.5000 (multiplicity 2)
Sc 0.0000 0.5000 0.2936 (multiplicity 4)
In 0.0000 0.5000 0.1549 (multiplicity 4)

*Q*
Here is an optimized crystal structure of Tm2Sc3In2 from the Alexandria database. Energies are from PBE-GGA.

## Properties
- DOS at the Fermi energy (states/eV per cell) = 17.9
- magnetic moment (μB/f.u.) = 1.64

Unit cell a=5.2379 b=20.9388 c=3.1333 alpha=90.00 beta=90.00 gamma=90.00
Space group Cmmm (No. 65)
Unique sites:
Tm 0.0000 0.0761 0.0000 (multiplicity 4)
Sc 0.0000 0.2188 0.0000 (multiplicity 4)
Sc 0.0000 0.5000 0.0000 (multiplicity 2)
In 0.0000 0.3524 0.5000 (multiplicity 4)

Most stable structure, least stable structure: *P*, *Q*.

*P*
Here is an optimized crystal structure of TmSc3In from the Alexandria database. Energies are from PBE-GGA.

## Properties
- DOS at the Fermi energy (states/eV per cell) = 10.7
- magnetic moment (μB/f.u.) = 0.00

Unit cell a=5.0556 b=7.7153 c=6.5870 alpha=90.00 beta=90.00 gamma=90.00
Space group Pmmn (No. 59, origin choice 2)
Unique sites:
Tm 0.2500 0.2500 0.2116 (multiplicity 2)
Sc 0.2500 0.0597 0.7362 (multiplicity 4)
Sc 0.2500 0.7500 0.0582 (multiplicity 2)
In 0.2500 0.7500 0.4802 (multiplicity 2)

*Q*
Here is an optimized crystal structure of TmSc3In from the Alexandria database. Energies are from PBE-GGA.

## Properties
- DOS at the Fermi energy (states/eV per cell) = 32.6
- magnetic moment (μB/f.u.) = 0.63

Unit cell a=6.4442 b=9.6429 c=8.4883 alpha=90.00 beta=90.00 gamma=90.00
Space group Pnma (No. 62)
Unique sites:
Tm 0.2166 0.2500 0.1398 (multiplicity 4)
Sc 0.0991 0.0311 0.8360 (multiplicity 8)
Sc 0.2432 0.7500 0.0466 (multiplicity 4)
In 0.0000 0.0000 0.5000 (multiplicity 4)

Most stable structure, least stable structure: *P*, *Q*.

*P*
Here is an optimized crystal structure of Tm2ScIn4 from the Alexandria database. Energies are from PBE-GGA.

## Properties
- DOS at the Fermi energy (states/eV per cell) = 19.3
- magnetic moment (μB/f.u.) = 1.06

Unit cell a=5.3893 b=5.3893 c=15.4280 alpha=90.00 beta=90.00 gamma=90.00
Space group I4/mmm (No. 139)
Unique sites:
Tm 0.0000 0.0000 0.1098 (multiplicity 4)
Sc 0.0000 0.0000 0.5000 (multiplicity 2)
In 0.0000 0.0000 0.3109 (multiplicity 4)
In 0.0000 0.5000 0.0000 (multiplicity 4)

*Q*
Here is an optimized crystal structure of Tm2ScIn4 from the Alexandria database. Energies are from PBE-GGA.

## Properties
- DOS at the Fermi energy (states/eV per cell) = 10.7
- magnetic moment (μB/f.u.) = 0.00

Unit cell a=6.9999 b=6.9999 c=7.7195 alpha=90.00 beta=90.00 gamma=90.00
Space group I4/mmm (No. 139)
Unique sites:
Tm 0.0000 0.5000 0.0000 (multiplicity 4)
Sc 0.0000 0.0000 0.0000 (multiplicity 2)
In 0.2500 0.2500 0.2500 (multiplicity 8)

Most stable structure, least stable structure: *Q*, *P*.

*P*
Here is an optimized crystal structure of TmSc6In from the Alexandria database. Energies are from PBE-GGA.

## Properties
- DOS at the Fermi energy (states/eV per cell) = 28.1
- magnetic moment (μB/f.u.) = 0.00

Unit cell a=7.0262 b=10.6239 c=6.2049 alpha=90.00 beta=118.62 gamma=90.00
Space group C2/m (No. 12)
Unique sites:
Tm 0.0000 0.0000 0.0000 (multiplicity 2)
Sc 0.0099 0.5000 0.2600 (multiplicity 4)
Sc 0.2402 0.2359 0.7534 (multiplicity 8)
In 0.0000 0.0000 0.5000 (multiplicity 2)

*Q*
Here is an optimized crystal structure of TmSc6In from the Alexandria database. Energies are from PBE-GGA.

## Properties
- DOS at the Fermi energy (states/eV per cell) = 12.7
- magnetic moment (μB/f.u.) = 0.45

Unit cell a=4.5807 b=4.5807 c=9.3527 alpha=90.00 beta=90.00 gamma=90.00
Space group P4/mmm (No. 123)
Unique sites:
Tm 0.0000 0.0000 0.0000 (multiplicity 1)
Sc 0.0000 0.5000 0.2569 (multiplicity 4)
Sc 0.5000 0.5000 0.0000 (multiplicity 1)
Sc 0.5000 0.5000 0.5000 (multiplicity 1)
In 0.0000 0.0000 0.5000 (multiplicity 1)

Most stable structure, least stable structure: *Q*, *P*.

*P*
Here is an optimized crystal structure of Tm3Sc2In from the Alexandria database. Energies are from PBE-GGA.

## Properties
- DOS at the Fermi energy (states/eV per cell) = 30.3
- magnetic moment (μB/f.u.) = 0.00

Unit cell a=6.4212 b=10.7364 c=9.3357 alpha=90.00 beta=91.61 gamma=90.00
Space group C2/c (No. 15)
Unique sites:
Tm 0.0000 0.1169 0.2500 (multiplicity 4)
Tm 0.1649 0.1557 0.6149 (multiplicity 8)
Sc 0.1695 0.3850 0.0518 (multiplicity 8)
In 0.0000 0.4165 0.7500 (multiplicity 4)

*Q*
Here is an optimized crystal structure of Tm3Sc2In from the Alexandria database. Energies are from PBE-GGA.

## Properties
- DOS at the Fermi energy (states/eV per cell) = 30.4
- magnetic moment (μB/f.u.) = 0.60

Unit cell a=16.3235 b=5.9974 c=6.7163 alpha=90.00 beta=90.00 gamma=90.00
Space group Cmcm (No. 63)
Unique sites:
Tm 0.0000 0.1842 0.2500 (multiplicity 4)
Tm 0.1888 0.0349 0.7500 (multiplicity 8)
Sc 0.1365 0.5000 0.0000 (multiplicity 8)
In 0.0000 0.3058 0.7500 (multiplicity 4)

Most stable structure, least stable structure: *P*, *Q*.

*P*
Here is an optimized crystal structure of TmSc4In2 from the Alexandria database. Energies are from PBE-GGA.

## Properties
- DOS at the Fermi energy (states/eV per cell) = 34.1
- magnetic moment (μB/f.u.) = 0.84

Unit cell a=6.2329 b=9.8960 c=11.3544 alpha=90.00 beta=90.00 gamma=90.00
Space group Fmmm (No. 69)
Unique sites:
Tm 0.0000 0.0000 0.0000 (multiplicity 4)
Sc 0.2500 0.2500 0.0000 (multiplicity 8)
Sc 0.2500 0.2500 0.2500 (multiplicity 8)
In 0.0000 0.0000 0.3638 (multiplicity 8)

*Q*
Here is an optimized crystal structure of TmSc4In2 from the Alexandria database. Energies are from PBE-GGA.

## Properties
- DOS at the Fermi energy (states/eV per cell) = 17.0
- magnetic moment (μB/f.u.) = 0.00

Unit cell a=4.0156 b=4.0156 c=22.2925 alpha=90.00 beta=90.00 gamma=90.00
Space group I4/mmm (No. 139)
Unique sites:
Tm 0.0000 0.0000 0.0000 (multiplicity 2)
Sc 0.0000 0.0000 0.1381 (multiplicity 4)
Sc 0.0000 0.5000 0.2500 (multiplicity 4)
In 0.0000 0.0000 0.4183 (multiplicity 4)

Most stable structure, least stable structure: *P*, *Q*.

*P*
Here is an optimized crystal structure of Tm2Sc4In from the Alexandria database. Energies are from PBE-GGA.

## Properties
- DOS at the Fermi energy (states/eV per cell) = 24.2
- magnetic moment (μB/f.u.) = 0.79

Unit cell a=5.8995 b=12.7708 c=5.3559 alpha=90.00 beta=90.00 gamma=90.00
Space group Cmmm (No. 65)
Unique sites:
Tm 0.0000 0.1261 0.0000 (multiplicity 4)
Sc 0.0000 0.2616 0.5000 (multiplicity 4)
Sc 0.0000 0.3715 0.0000 (multiplicity 4)
In 0.0000 0.5000 0.5000 (multiplicity 2)

*Q*
Here is an optimized crystal structure of Tm2Sc4In from the Alexandria database. Energies are from PBE-GGA.

## Properties
- DOS at the Fermi energy (states/eV per cell) = 20.1
- magnetic moment (μB/f.u.) = 0.00

Unit cell a=5.9042 b=11.3179 c=6.0647 alpha=90.00 beta=115.47 gamma=90.00
Space group P2_1/c (No. 14)
Unique sites:
Tm 0.2078 0.0538 0.3972 (multiplicity 4)
Sc 0.0933 0.1769 0.8508 (multiplicity 4)
Sc 0.4047 0.7347 0.1852 (multiplicity 4)
In 0.5000 0.0000 0.0000 (multiplicity 2)

Most stable structure, least stable structure: *Q*, *P*.

*P*
Here is an optimized crystal structure of Tm4ScIn2 from the Alexandria database. Energies are from PBE-GGA.

## Properties
- DOS at the Fermi energy (states/eV per cell) = 16.5
- magnetic moment (μB/f.u.) = 0.00

Unit cell a=5.5868 b=5.5868 c=13.0364 alpha=90.00 beta=90.00 gamma=90.00
Space group I4/mmm (No. 139)
Unique sites:
Tm 0.0000 0.5000 0.0000 (multiplicity 4)
Tm 0.0000 0.5000 0.2500 (multiplicity 4)
Sc 0.0000 0.0000 0.0000 (multiplicity 2)
In 0.0000 0.0000 0.3751 (multiplicity 4)

*Q*
Here is an optimized crystal structure of Tm4ScIn2 from the Alexandria database. Energies are from PBE-GGA.

## Properties
- DOS at the Fermi energy (states/eV per cell) = 36.6
- magnetic moment (μB/f.u.) = 0.56

Unit cell a=5.3679 b=5.3679 c=25.4005 alpha=90.00 beta=90.00 gamma=120.00
Space group R-3m (No. 166, hexagonal axes)
Unique sites:
Tm 0.0000 0.0000 0.1297 (multiplicity 6)
Tm 0.0000 0.0000 0.2643 (multiplicity 6)
Sc 0.0000 0.0000 0.5000 (multiplicity 3)
In 0.0000 0.0000 0.3852 (multiplicity 6)

Most stable structure, least stable structure: *Q*, *P*.

*P*
Here is an optimized crystal structure of Tm3ScIn from the Alexandria database. Energies are from PBE-GGA.

## Properties
- DOS at the Fermi energy (states/eV per cell) = 24.8
- magnetic moment (μB/f.u.) = 0.00

Unit cell a=4.6913 b=24.2477 c=4.7032 alpha=90.00 beta=90.00 gamma=90.00
Space group Cmcm (No. 63)
Unique sites:
Tm 0.0000 0.0511 0.2500 (multiplicity 4)
Tm 0.0000 0.2502 0.2500 (multiplicity 4)
Tm 0.0000 0.4457 0.2500 (multiplicity 4)
Sc 0.0000 0.1508 0.7500 (multiplicity 4)
In 0.0000 0.3483 0.7500 (multiplicity 4)

*Q*
Here is an optimized crystal structure of Tm3ScIn from the Alexandria database. Energies are from PBE-GGA.

## Properties
- DOS at the Fermi energy (states/eV per cell) = 15.1
- magnetic moment (μB/f.u.) = 0.00

Unit cell a=3.4183 b=11.1514 c=8.0456 alpha=90.00 beta=102.17 gamma=90.00
Space group P2_1/m (No. 11)
Unique sites:
Tm 0.1490 0.0069 0.2962 (multiplicity 4)
Tm 0.2971 0.2500 0.5921 (multiplicity 2)
Sc 0.0209 0.7500 0.0481 (multiplicity 2)
In 0.3702 0.7500 0.7439 (multiplicity 2)

Most stable structure, least stable structure: *P*, *Q*.

*P*
Here is an optimized crystal structure of Tm6ScIn from the Alexandria database. Energies are from PBE-GGA.

## Properties
- DOS at the Fermi energy (states/eV per cell) = 13.2
- magnetic moment (μB/f.u.) = 0.00

Unit cell a=6.4339 b=11.2108 c=6.2999 alpha=90.00 beta=90.06 gamma=90.00
Space group C2/m (No. 12)
Unique sites:
Tm 0.0705 0.0000 0.2477 (multiplicity 4)
Tm 0.2097 0.2860 0.2475 (multiplicity 8)
Sc 0.0000 0.5000 0.0000 (multiplicity 2)
In 0.0000 0.5000 0.5000 (multiplicity 2)

*Q*
Here is an optimized crystal structure of Tm6ScIn from the Alexandria database. Energies are from PBE-GGA.

## Properties
- DOS at the Fermi energy (states/eV per cell) = 8.2
- magnetic moment (μB/f.u.) = 0.00

Unit cell a=4.8055 b=4.8055 c=9.7366 alpha=90.00 beta=90.00 gamma=90.00
Space group P4/mmm (No. 123)
Unique sites:
Tm 0.0000 0.0000 0.0000 (multiplicity 1)
Tm 0.0000 0.0000 0.5000 (multiplicity 1)
Tm 0.0000 0.5000 0.2500 (multiplicity 4)
Sc 0.5000 0.5000 0.0000 (multiplicity 1)
In 0.5000 0.5000 0.5000 (multiplicity 1)

Most stable structure, least stable structure: *Q*, *P*.